This record from the Alexandria database describes a relaxed Ac2ZnGeRh6 crystal. The functional is GGA-PBE.

Lattice parameters (Å, degrees): 6.4639 6.5614 6.6369 80.44 50.68 100.03
Atoms (fractional coordinates):
1 Ac 0.2405 0.7890 0.4812
2 Ac 0.7595 0.2110 0.5188
3 Zn 0.0000 0.0000 0.0000
4 Rh 0.7215 0.2277 0.9903
5 Rh 0.7879 0.5743 0.1378
6 Rh 0.7431 0.7271 0.5046
7 Rh 0.2785 0.7723 0.0097
8 Rh 0.2569 0.2729 0.4954
9 Rh 0.2121 0.4257 0.8622
10 Ge 0.5000 0.5000 0.0000

Output
- Total magnetization: 0.00 μB/f.u.
- E: -62.85 eV for the cell shown
- Calculated volume: 19.98 A^3/atom
- Formation enthalpy at 0 K: -0.463 eV per atom